Record 1
The following is a PBE calculation of crystalline La6Pr2ErMg at its relaxed geometry, from the Alexandria database. Values from VASP.

Results
As for the final energy: -0.326 Ry per atom. The formation energy from the elements comes out at 0.09 eV per atom. The value obtained for the calculated volume is 700.9 Å³/cell.

Geometry as Quantum ESPRESSO input:
```
&SYSTEM
  ibrav = 0, nat = 20, ntyp = 4
/
ATOMIC_SPECIES
La 138.91 La.upf
Er 167.26 Er.upf
Mg 24.30 Mg.upf
Pr 140.91 Pr.upf
ATOMIC_POSITIONS crystal
La 0.824 0.459 0.031
La 0.418 0.254 0.920
La 0.099 0.678 0.433
La 0.918 0.920 0.254
La 0.582 0.746 0.080
La 0.401 0.567 0.322
La 0.082 0.080 0.746
La 0.901 0.322 0.567
La 0.324 0.031 0.459
La 0.176 0.541 0.969
La 0.599 0.433 0.678
La 0.676 0.969 0.541
Er 0.750 0.069 0.931
Er 0.250 0.931 0.069
Mg 0.750 0.596 0.404
Mg 0.250 0.404 0.596
Pr 0.910 0.735 0.800
Pr 0.410 0.800 0.735
Pr 0.090 0.265 0.200
Pr 0.590 0.200 0.265
CELL_PARAMETERS angstrom
9.115 -1.913 -1.985
0.815 8.672 -1.016
0.815 -1.336 8.629
```

Record 2
The following is a PBE calculation of crystalline Fe2B2Sb at its relaxed geometry, from the Alexandria database. Values from VASP.

Results
The calculation puts the excess energy over the best structure of this formula in the dataset at 0.000 eV per atom. As for the final energy: -0.489 Ry per atom. The value obtained for the calculated volume is 53.3 Å³/cell. The calculation puts the uncorrected formation energy at 0.233 eV/atom.

Geometry as Quantum ESPRESSO input:
```
&SYSTEM
  ibrav = 0, nat = 5, ntyp = 3
/
ATOMIC_SPECIES
B 10.81 B.upf
Fe 55.84 Fe.upf
Sb 121.76 Sb.upf
ATOMIC_POSITIONS crystal
B 0.615 0.615 0.769
B 0.385 0.385 0.231
Fe 0.250 0.750 0.500
Fe 0.750 0.250 0.500
Sb 0.000 0.000 0.000
CELL_PARAMETERS angstrom
-1.985 3.051 -0.911
-1.527 0.029 3.427
1.062 3.743 2.496
```

Q: What is the final energy in the first record?
A: -0.326 Ry per atom